(1)
Computed, not measured: a relaxed structure of Rb4DyU3S8 at the PBE level of DFT.

Lattice parameters (Å, degrees): 8.153 9.055 8.153 116.76 120.00 90.00
Site moments in Bohr magnetons follow the coordinates.
Sites, in units of the cell vectors:
Rb: 0.500 0.000 0.000  0.01
Rb: 0.500 0.000 0.500  0.01
Rb: 0.000 0.000 0.000  0.01
Rb: 0.000 0.000 0.500  0.01
Dy: 0.000 0.500 0.000  0.15
U: 0.500 0.500 0.000  2.62
U: 0.500 0.500 0.500  2.62
U: 0.000 0.500 0.500  2.62
S: 0.231 0.694 0.963  -0.04
S: 0.231 0.694 0.462  -0.04
S: 0.269 0.307 0.538  -0.06
S: 0.732 0.694 0.963  -0.04
S: 0.268 0.306 0.037  -0.04
S: 0.731 0.693 0.462  -0.06
S: 0.769 0.306 0.538  -0.04
S: 0.769 0.306 0.037  -0.04

As for the density of states at the Fermi level: 14.5 states/eV/cell. As for the space group: R-3m (166). Its uncorrected formation energy is -1.47 eV/atom. The value obtained for the total energy is -6.18 eV/atom. For the density, the calculation gives 5.5 Mg/m³.



(2)
Computed, not measured: a relaxed structure of PuZn4Au4 at the PBE level of DFT.

Lattice parameters (Å, degrees): 4.809 8.469 8.469 90.00 90.00 90.00
Site moments in Bohr magnetons follow the coordinates.
Sites, in units of the cell vectors:
Pu: 0.000 0.000 0.000  5.32
Pu: 0.500 0.500 0.500  5.32
Zn: 0.500 0.885 0.224  0.01
Zn: 0.500 0.115 0.776  0.01
Zn: 0.000 0.724 0.615  0.01
Zn: 0.000 0.385 0.724  0.01
Zn: 0.000 0.615 0.276  0.01
Zn: 0.500 0.224 0.115  0.01
Zn: 0.500 0.776 0.885  0.01
Zn: 0.000 0.276 0.385  0.01
Au: 0.500 0.416 0.851  0.01
Au: 0.000 0.649 0.916  0.01
Au: 0.500 0.584 0.149  0.01
Au: 0.000 0.084 0.649  0.01
Au: 0.500 0.851 0.584  0.01
Au: 0.000 0.916 0.351  0.01
Au: 0.000 0.351 0.084  0.01
Au: 0.500 0.149 0.416  0.01

As for the density of states at the Fermi level: 31.9 states/eV/cell. As for the space group: I4/m (87). The formation energy comes out at -168 meV per atom. The value obtained for the total energy is -3.78 eV/atom. For the density, the calculation gives 12.5 Mg/m³.



(3)
Computed, not measured: a relaxed structure of Pm5Tl2Ag at the PBE level of DFT.

Lattice parameters (Å, degrees): 7.145 7.145 6.789 121.77 121.76 89.98
Sites, in units of the cell vectors:
Pm: 0.722 0.222 0.944
Pm: 0.222 0.222 0.944
Pm: 0.722 0.722 0.944
Pm: 0.222 0.722 0.944
Pm: 0.722 0.722 0.445
Tl: 0.222 0.722 0.444
Tl: 0.722 0.222 0.444
Ag: 0.222 0.222 0.444

As for the density of states at the Fermi level: 10.9 states/eV/cell. As for the space group: I4/mmm (139). The formation energy comes out at -205 meV per atom. The value obtained for the total energy is -4.12 eV/atom. For the density, the calculation gives 8.9 Mg/m³.



(4)
Computed, not measured: a relaxed structure of Tl6Pt3Cl14 at the PBE level of DFT.

Lattice parameters (Å, degrees): 7.277 11.087 11.087 120.00 90.00 90.00
Site moments in Bohr magnetons follow the coordinates.
Sites, in units of the cell vectors:
Tl: 0.262 0.773 0.049  0.00
Tl: 0.262 0.951 0.724  0.00
Tl: 0.262 0.276 0.227  0.00
Tl: 0.782 0.540 0.581  0.01
Tl: 0.782 0.419 0.959  0.01
Tl: 0.782 0.041 0.460  0.01
Pt: 0.795 0.000 0.000  1.19
Pt: 0.329 0.333 0.667  1.18
Pt: 0.445 0.667 0.333  0.00
Cl: 0.978 0.038 0.200  0.14
Cl: 0.978 0.800 0.838  0.14
Cl: 0.978 0.162 0.962  0.14
Cl: 0.519 0.258 0.460  0.14
Cl: 0.519 0.540 0.799  0.14
Cl: 0.519 0.201 0.742  0.14
Cl: 0.469 0.000 0.000  0.07
Cl: 0.006 0.333 0.667  0.08
Cl: 0.632 0.732 0.202  0.00
Cl: 0.632 0.798 0.530  0.00
Cl: 0.632 0.470 0.268  0.00
Cl: 0.260 0.608 0.471  0.00
Cl: 0.260 0.529 0.137  0.00
Cl: 0.260 0.863 0.392  0.00

As for the space group: P3 (143). Its uncorrected formation energy is -0.61 eV/atom. The value obtained for the total energy is -3.14 eV/atom. For the density, the calculation gives 4.9 Mg/m³.



(5)
Computed, not measured: a relaxed structure of La2SmMgO at the PBE level of DFT.

Lattice parameters (Å, degrees): 4.913 5.146 5.146 90.00 90.00 90.00
Sites, in units of the cell vectors:
La: 0.000 0.000 0.500
La: 0.000 0.500 0.000
Sm: 0.500 0.000 0.000
Mg: 0.500 0.500 0.500
O: 0.000 0.000 0.000

As for the density of states at the Fermi level: 5.5 states/eV/cell. As for the space group: P4/mmm (123). Its uncorrected formation energy is -1.20 eV/atom. The value obtained for the total energy is -5.42 eV/atom. For the density, the calculation gives 6.0 Mg/m³.



(6)
Computed, not measured: a relaxed structure of In3OsSe at the PBE level of DFT.

Lattice parameters (Å, degrees): 5.177 5.177 5.177 90.00 90.00 90.00
Sites, in units of the cell vectors:
Os: 0.000 0.000 0.000
Se: 0.500 0.500 0.500
In: 0.000 0.500 0.000
In: 0.000 0.000 0.500
In: 0.500 0.000 0.000

As for the density of states at the Fermi level: 3.7 states/eV/cell. For the distance to the lowest polymorph of the same formula, the calculation gives 0.00 eV per formula unit. As for the space group: Pm-3m (221). Its uncorrected formation energy is 0.33 eV/atom. The value obtained for the total energy is -4.26 eV/atom. For the density, the calculation gives 7.3 Mg/m³.